## PmTmCoRu (PBE-GGA)

Data for PmTmCoRu after structural relaxation.

## Properties
Raw total energy   -6.576 eV/atom
DOS at the Fermi energy   0.900 states/eV per atom
Total moment   0.000 μB per atom
DFT formation energy   -175.0 meV per atom
Crystal system   cubic

Cell: 4.801 4.801 4.801 Å, 60.00 60.00 60.00°
Sites, in units of the cell vectors:
1 Pm 0.000 0.000 0.000
2 Tm 0.500 0.500 0.500
3 Co 0.250 0.250 0.250
4 Ru 0.750 0.750 0.750


## LiAg2Pb (PBE-GGA)

Data for LiAg2Pb after structural relaxation.

## Properties
Raw total energy   -2.895 eV/atom
DOS at the Fermi energy   0.245 states/eV per atom
Total moment   0.000 μB per atom
DFT formation energy   -64.2 meV per atom
Crystal system   monoclinic

Cell: 3.167 4.422 5.924 Å, 90.00 103.48 90.00°
Sites, in units of the cell vectors:
1 Li 0.000 0.000 0.000
2 Ag 0.398 0.500 0.219
3 Ag 0.602 0.500 0.781
4 Pb 0.000 0.000 0.500


## Ac3InGe6Pd2 (PBE-GGA)

Data for Ac3InGe6Pd2 after structural relaxation.

## Properties
Raw total energy   -4.814 eV/atom
DOS at the Fermi energy   0.258 states/eV per atom
Total moment   0.000 μB per atom
DFT formation energy   -384.7 meV per atom
Crystal system   trigonal

Cell: 6.307 6.307 8.796 Å, 90.00 90.00 120.00°
Sites, in units of the cell vectors:
1 Ac 0.000 0.000 0.000
2 Ac 0.333 0.667 0.628
3 Ac 0.667 0.333 0.372
4 In 0.000 0.000 0.500
5 Ge 0.197 0.394 0.271
6 Ge 0.197 0.803 0.271
7 Ge 0.394 0.197 0.729
8 Ge 0.606 0.803 0.271
9 Ge 0.803 0.197 0.729
10 Ge 0.803 0.606 0.729
11 Pd 0.333 0.667 0.024
12 Pd 0.667 0.333 0.976


## LiVAs (PBE-GGA)

Data for LiVAs after structural relaxation.

## Properties
Energy above the lowest structure with this stoichiometry   183 meV per atom
Raw total energy   -5.621 eV/atom
DOS at the Fermi energy   0.706 states/eV per atom
Total moment   0.000 μB per atom
DFT formation energy   -393.6 meV per atom
Crystal system   tetragonal

Cell: 3.457 3.457 7.009 Å, 90.00 90.00 90.00°
Sites, in units of the cell vectors:
1 Li 0.250 0.750 0.000
2 Li 0.750 0.250 0.000
3 V 0.250 0.250 0.378
4 V 0.750 0.750 0.622
5 As 0.250 0.250 0.736
6 As 0.750 0.750 0.264


Number 4 is which compound?
LiVAs